The following is a GGA-PBE calculation of LiPt2Pb after structural relaxation, from the Alexandria database.

Properties
E_form in meV per atom: -101
D(E_F) in states/eV/cell: 0.29
Space group: R-3m, No. 166

Unit cell a=9.6484 b=9.6484 c=9.6484 alpha=17.57 beta=17.57 gamma=17.57
Closest atoms and distances in Å follow each position.
Fractional positions:
1 Pt 0.9892 0.9892 0.9892  3 Li 2.68, 6 Pt 2.95
2 Pt 0.5108 0.5108 0.5108  3 Li 2.68, 6 Pt 2.95
3 Li 0.2500 0.2500 0.2500  6 Pt 2.68, 6 Li 2.95
4 Pb 0.7500 0.7500 0.7500  6 Pb 2.95, 6 Pt 3.18

---

The following is a GGA-PBE calculation of LiPtPb2 after structural relaxation, from the Alexandria database.

Properties
E_form in meV per atom: -47
D(E_F) in states/eV/cell: 1.94
Space group: F-43m, No. 216
Offset from the most stable computed form in kJ/mol of atoms: 20.2

Unit cell a=5.0044 b=5.0044 c=5.0044 alpha=60.00 beta=60.00 gamma=60.00
Closest atoms and distances in Å follow each position.
Fractional positions:
1 Pb 0.0000 0.0000 0.0000  4 Pt 3.06, 4 Pb 3.06
2 Pb 0.2500 0.2500 0.2500  4 Pb 3.06, 4 Li 3.06
3 Pt 0.7500 0.7500 0.7500  4 Pb 3.06, 4 Li 3.06
4 Li 0.5000 0.5000 0.5000  4 Pb 3.06, 4 Pt 3.06